Entry 1:
A geometry-optimized Er5Tm5Sc structure, computed with GGA-PBE.

Unit cell a=9.690 b=9.690 c=6.799 alpha=110.30 beta=110.30 gamma=34.66
Fractional coordinates of all 11 atoms:
1 Er 0.000 0.000 0.000
2 Er 0.324 0.324 0.067
3 Er 0.324 0.324 0.579
4 Er 0.676 0.676 0.421
5 Er 0.676 0.676 0.933
6 Tm 0.124 0.124 0.626
7 Tm 0.170 0.170 0.172
8 Tm 0.500 0.500 0.500
9 Tm 0.830 0.830 0.828
10 Tm 0.876 0.876 0.374
11 Sc 0.500 0.500 0.000

- energy of formation from the pure elements (meV per atom) = 288.2
- symmetry = No. 12

***

Entry 2:
A geometry-optimized NdNpN3 structure, computed with GGA-PBE.

Unit cell a=5.954 b=5.954 c=10.205 alpha=106.63 beta=106.63 gamma=59.16
Fractional coordinates of all 20 atoms:
1 Nd 0.113 0.617 0.866
2 Nd 0.383 0.887 0.634
3 Nd 0.617 0.113 0.366
4 Nd 0.887 0.383 0.134
5 Np 0.000 0.500 0.500
6 Np 0.251 0.749 0.250
7 Np 0.500 0.000 0.000
8 Np 0.749 0.251 0.750
9 N 0.156 0.161 0.348
10 N 0.161 0.156 0.848
11 N 0.181 0.683 0.421
12 N 0.317 0.819 0.079
13 N 0.337 0.347 0.652
14 N 0.347 0.337 0.152
15 N 0.653 0.663 0.848
16 N 0.663 0.653 0.348
17 N 0.683 0.181 0.921
18 N 0.819 0.317 0.579
19 N 0.839 0.844 0.152
20 N 0.844 0.839 0.652

- uncorrected formation energy (eV per atom) = -1.2095
- symmetry = No. 15

***

Entry 3:
A geometry-optimized La2Nd15Mg2 structure, computed with GGA-PBE.

Unit cell a=8.889 b=8.889 c=8.889 alpha=80.71 beta=80.71 gamma=80.71
Fractional coordinates of all 19 atoms:
1 La 0.180 0.180 0.180
2 La 0.820 0.820 0.820
3 Nd 0.000 0.500 0.500
4 Nd 0.136 0.136 0.655
5 Nd 0.136 0.655 0.136
6 Nd 0.206 0.500 0.794
7 Nd 0.206 0.794 0.500
8 Nd 0.345 0.864 0.864
9 Nd 0.500 0.000 0.500
10 Nd 0.500 0.206 0.794
11 Nd 0.500 0.500 0.000
12 Nd 0.500 0.794 0.206
13 Nd 0.655 0.136 0.136
14 Nd 0.794 0.206 0.500
15 Nd 0.794 0.500 0.206
16 Nd 0.864 0.345 0.864
17 Nd 0.864 0.864 0.345
18 Mg 0.407 0.407 0.407
19 Mg 0.593 0.593 0.593

- energy of formation from the pure elements (meV per atom) = 186.5
- symmetry = No. 166

***

Entry 4:
A geometry-optimized Dy2HgGe structure, computed with GGA-PBE.

Unit cell a=5.080 b=5.080 c=3.751 alpha=90.00 beta=90.00 gamma=90.00
Fractional coordinates of all 4 atoms:
1 Dy 0.000 0.500 0.000
2 Dy 0.500 0.000 0.000
3 Hg 0.000 0.000 0.500
4 Ge 0.500 0.500 0.500

- energy of formation from the pure elements (meV per atom) = -573.1
- symmetry = No. 123

***

Entry 5:
A geometry-optimized Th2TaPb structure, computed with GGA-PBE.

Unit cell a=12.019 b=12.019 c=12.019 alpha=15.82 beta=15.82 gamma=15.82
Fractional coordinates of all 4 atoms:
1 Th 0.083 0.083 0.083
2 Th 0.917 0.917 0.917
3 Ta 0.000 0.000 0.000
4 Pb 0.500 0.500 0.500

- energy of formation from the pure elements (meV per atom) = 526.2
- symmetry = No. 166

***

Entry 6:
A geometry-optimized TaTl2Mo structure, computed with GGA-PBE.

Unit cell a=5.392 b=5.392 c=5.392 alpha=133.93 beta=133.93 gamma=67.20
Fractional coordinates of all 4 atoms:
1 Ta 0.000 0.000 0.000
2 Tl 0.250 0.750 0.500
3 Tl 0.750 0.250 0.500
4 Mo 0.500 0.500 0.000

- energy of formation from the pure elements (meV per atom) = 825.9
- symmetry = No. 139
- energy relative to the lowest polymorph listed for this composition (meV per atom) = 409

***

Entry 7:
A geometry-optimized ScCuIr2 structure, computed with GGA-PBE.

Unit cell a=4.437 b=4.437 c=4.437 alpha=60.00 beta=60.00 gamma=60.00
Fractional coordinates of all 4 atoms:
1 Sc 0.000 0.000 0.000
2 Cu 0.250 0.250 0.250
3 Ir 0.500 0.500 0.500
4 Ir 0.750 0.750 0.750

- energy of formation from the pure elements (meV per atom) = -206.2
- symmetry = No. 216

***

Entry 8:
A geometry-optimized ZrSi structure, computed with GGA-PBE.

Unit cell a=4.666 b=4.666 c=4.666 alpha=60.00 beta=60.00 gamma=60.00
Fractional coordinates of all 4 atoms:
1 Zr 0.125 0.125 0.125
2 Zr 0.875 0.875 0.875
3 Si 0.375 0.375 0.375
4 Si 0.625 0.625 0.625

- uncorrected formation energy (eV per atom) = 0.0696
- symmetry = No. 227

***

Number 1: spin magnetization 1.2 μB/f.u.. Number 2: spin magnetization 1.0 μB/f.u.. Number 3: spin magnetization 0.0 μB/f.u.. Number 4: spin magnetization 0.0 μB/f.u.. Number 5: spin magnetization 0.0 μB/f.u.. Number 6: spin magnetization 0.3 μB/f.u.. Number 7: spin magnetization 1.2 μB/f.u.. Number 8: spin magnetization 0.0 μB/f.u..